Entry w
DFT (PBE-GGA) results for a geometry-optimized SnOs3Se structure.

abc: 4.5892 4.5892 4.5892
angles: 90.00 90.00 90.00
Fractional positions:
Sn 0.5000 0.5000 0.5000
Os 0.0000 0.0000 0.5000
Os 0.5000 0.0000 0.0000
Os 0.0000 0.5000 0.0000
Se 0.0000 0.0000 0.0000

Mass density = 13201 kg/m3

Entry x
DFT (PBE-GGA) results for a geometry-optimized SnOs3Se structure.

abc: 4.9046 4.9046 4.9046
angles: 90.00 90.00 90.00
Fractional positions:
Os 0.0000 0.0000 0.5000
Os 0.5000 0.0000 0.0000
Os 0.0000 0.5000 0.0000
Sn 0.0000 0.0000 0.0000
Se 0.5000 0.5000 0.5000

Mass density = 10814 kg/m3

The most stable structure shown above is entry w; the least stable is entry x.